No. 1
H4AuI3N | PBE-GGA | optimized geometry Values from VASP.

## Properties
Electronic total energy in eV per atom: -3.627
ΔE to the lowest computed polymorph in eV per formula unit: 0.15

Quantum ESPRESSO input file:
```
&SYSTEM
  ibrav = 0, nat = 36, ntyp = 4
/
ATOMIC_SPECIES
I 126.90 I.upf
Au 196.97 Au.upf
N 14.01 N.upf
H 1.01 H.upf
ATOMIC_POSITIONS crystal
I 0.6625 0.2685 0.0924
I 0.3462 0.9540 0.8571
I 0.3500 0.9440 0.3564
I 0.6545 0.2675 0.5881
I 0.3918 0.6663 0.1190
I 0.8836 0.5259 0.9339
I 0.8814 0.5253 0.4317
I 0.3865 0.6641 0.6238
I 0.1703 0.1792 0.1259
I 0.8376 0.0306 0.8105
I 0.8427 0.0254 0.3118
I 0.1625 0.1777 0.6215
Au 0.6310 0.5906 0.2757
Au 0.6294 0.5892 0.7791
Au 0.5043 0.1004 0.2210
Au 0.4978 0.1034 0.7187
N 0.8060 0.8506 0.0442
N 0.7985 0.8458 0.5453
N 0.2703 0.3648 0.3755
N 0.2739 0.3637 0.8812
H 0.8618 0.7620 0.0313
H 0.7615 0.9060 0.9779
H 0.9091 0.9226 0.0908
H 0.6896 0.8112 0.0726
H 0.8542 0.7585 0.5303
H 0.9040 0.9198 0.5892
H 0.6879 0.8051 0.5776
H 0.7448 0.8995 0.4796
H 0.3539 0.3265 0.4407
H 0.3580 0.4378 0.3408
H 0.1688 0.4168 0.3897
H 0.2022 0.2772 0.3313
H 0.3607 0.3306 0.9471
H 0.3584 0.4338 0.8433
H 0.1725 0.4169 0.8943
H 0.2058 0.2721 0.8409
CELL_PARAMETERS angstrom
-2.1700 -0.6859 -7.0587
3.7007 -8.3612 1.5270
-10.9073 -4.7325 7.9707
```

***

No. 2
AcAg3Pd8 | PBE-GGA | optimized geometry Values from VASP.

## Properties
Calculated formation energy in eV per atom: -0.210
Electronic total energy in eV per atom: -4.727

Quantum ESPRESSO input file:
```
&SYSTEM
  ibrav = 0, nat = 12, ntyp = 3
/
ATOMIC_SPECIES
Ac 227.00 Ac.upf
Ag 107.87 Ag.upf
Pd 106.42 Pd.upf
ATOMIC_POSITIONS crystal
Ac 0.0000 0.0000 0.5672
Ag 0.6667 0.3333 0.3901
Ag 0.6667 0.3333 0.0547
Ag 0.0000 0.0000 0.9625
Pd 0.3333 0.6667 0.5012
Pd 0.3333 0.6667 0.0020
Pd 0.5024 0.0049 0.7599
Pd 0.5024 0.4976 0.7599
Pd 0.9951 0.4976 0.7599
Pd 0.1648 0.3296 0.2476
Pd 0.1648 0.8352 0.2476
Pd 0.6704 0.8352 0.2476
CELL_PARAMETERS angstrom
5.3644 0.0000 0.0000
-2.6822 4.6457 0.0000
0.0000 0.0000 8.8774
```